Entry 1:
# GGA-PBE AlIF2, relaxed
# energy above the most stable polymorph in this dataset = 2.35 eV per formula unit
# size of the total moment = 0.00 μB per cell
# formation energy (no corrections) = -1.511 eV/atom
# mass density = 3.28 g/cm3
# raw total energy = -15.08 eV per formula unit
# crystal system = trigonal
data_AlIF2
_chemical_formula_sum 'Al3 I3 F6'
_space_group_name_H-M_alt 'R -3 m'
_space_group_IT_number 166
_space_group_name_Hall '-R 3 2"'
_cell_length_a 3.3084
_cell_length_b 3.3084
_cell_length_c 30.7168
_cell_angle_alpha 90.00
_cell_angle_beta 90.00
_cell_angle_gamma 120.00
loop_
_atom_site_label
_atom_site_type_symbol
_atom_site_fract_x
_atom_site_fract_y
_atom_site_fract_z
_atom_site_occupancy
Al1 Al 0.0000 0.0000 0.0000 1
I1 I 0.0000 0.0000 0.5000 1
F1 F 0.0000 0.0000 0.0541 1

Entry 2:
# GGA-PBE NbTlS2Cl, relaxed
# energy above the most stable polymorph in this dataset = 7.57 eV per formula unit
# size of the total moment = 2.78 μB per cell
# formation energy (no corrections) = 0.793 eV/atom
# mass density = 4.95 g/cm3
# raw total energy = -18.57 eV per formula unit
# crystal system = tetragonal
data_NbTlS2Cl
_chemical_formula_sum 'Nb1 Tl1 S2 Cl1'
_space_group_name_H-M_alt 'P 4/m m m'
_space_group_IT_number 123
_space_group_name_Hall '-P 4 2'
_cell_length_a 5.136
_cell_length_b 5.136
_cell_length_c 5.046
_cell_angle_alpha 90.00
_cell_angle_beta 90.00
_cell_angle_gamma 90.00
loop_
_atom_site_label
_atom_site_type_symbol
_atom_site_fract_x
_atom_site_fract_y
_atom_site_fract_z
_atom_site_occupancy
Nb1 Nb 0.000 0.000 0.000 1
Tl1 Tl 0.500 0.500 0.500 1
S1 S 0.000 0.500 0.500 1
Cl1 Cl 0.500 0.500 0.000 1

Entry 3:
# GGA-PBE Sc2In2Au, relaxed
# energy above the most stable polymorph in this dataset = 0.81 eV per formula unit
# size of the total moment = 0.00 μB per cell
# energy relative to the elements = -1.427 eV/f.u.
# mass density = 7.13 g/cm3
# raw total energy = -22.84 eV per formula unit
# crystal system = tetragonal
data_Sc2In2Au
_chemical_formula_sum 'Sc4 In4 Au2'
_space_group_name_H-M_alt 'P 4/m b m'
_space_group_IT_number 127
_space_group_name_Hall '-P 4 2ab'
_cell_length_a 7.177
_cell_length_b 7.177
_cell_length_c 4.672
_cell_angle_alpha 90.00
_cell_angle_beta 90.00
_cell_angle_gamma 90.00
loop_
_atom_site_label
_atom_site_type_symbol
_atom_site_fract_x
_atom_site_fract_y
_atom_site_fract_z
_atom_site_occupancy
Sc1 Sc 0.153 0.347 0.000 1
In1 In 0.154 0.654 0.500 1
Au1 Au 0.000 0.000 0.000 1

Entry 4:
# GGA-PBE Tc2HgRu, relaxed
# size of the total moment = 0.00 μB per cell
# energy relative to the elements = 2.362 eV/f.u.
# mass density = 12.77 g/cm3
# raw total energy = -27.95 eV per formula unit
# crystal system = orthorhombic
data_Tc2HgRu
_chemical_formula_sum 'Tc4 Hg2 Ru2'
_space_group_name_H-M_alt 'C m m m'
_space_group_IT_number 65
_space_group_name_Hall '-C 2 2'
_cell_length_a 2.873
_cell_length_b 4.704
_cell_length_c 9.577
_cell_angle_alpha 90.00
_cell_angle_beta 90.00
_cell_angle_gamma 90.00
loop_
_atom_site_label
_atom_site_type_symbol
_atom_site_fract_x
_atom_site_fract_y
_atom_site_fract_z
_atom_site_occupancy
Tc1 Tc 0.000 0.000 0.229 1
Hg1 Hg 0.000 0.500 0.500 1
Ru1 Ru 0.000 0.500 0.000 1

Entry 5:
# GGA-PBE KMnVTe4, relaxed
# size of the total moment = 9.98 μB per cell
# formation energy (no corrections) = -0.321 eV/atom
# mass density = 4.84 g/cm3
# raw total energy = -34.20 eV per formula unit
# crystal system = monoclinic
data_KMnVTe4
_chemical_formula_sum 'K2 Mn2 V2 Te8'
_space_group_name_H-M_alt 'P 1 21/m 1'
_space_group_IT_number 11
_space_group_name_Hall '-P 2yb'
_cell_length_a 6.807
_cell_length_b 7.403
_cell_length_c 8.937
_cell_angle_alpha 90.00
_cell_angle_beta 92.66
_cell_angle_gamma 90.00
loop_
_atom_site_label
_atom_site_type_symbol
_atom_site_fract_x
_atom_site_fract_y
_atom_site_fract_z
_atom_site_occupancy
K1 K 0.208 0.250 0.042 1
Mn1 Mn 0.369 0.250 0.650 1
V1 V 0.175 0.750 0.461 1
Te1 Te 0.088 0.003 0.680 1
Te2 Te 0.318 0.750 0.175 1
Te3 Te 0.485 0.250 0.382 1

Entry 6:
# GGA-PBE Y2ZrP, relaxed
# size of the total moment = 0.00 μB per cell
# energy relative to the elements = -1.033 eV/f.u.
# mass density = 5.37 g/cm3
# raw total energy = -27.92 eV per formula unit
# crystal system = tetragonal
data_Y2ZrP
_chemical_formula_sum 'Y4 Zr2 P2'
_space_group_name_H-M_alt 'I -4 m 2'
_space_group_IT_number 119
_space_group_name_Hall 'I -4 -2'
_cell_length_a 4.315
_cell_length_b 4.315
_cell_length_c 9.966
_cell_angle_alpha 90.00
_cell_angle_beta 90.00
_cell_angle_gamma 90.00
loop_
_atom_site_label
_atom_site_type_symbol
_atom_site_fract_x
_atom_site_fract_y
_atom_site_fract_z
_atom_site_occupancy
Y1 Y 0.000 0.000 0.000 1
Y2 Y 0.000 0.500 0.250 1
Zr1 Zr 0.000 0.500 0.750 1
P1 P 0.000 0.000 0.500 1

Entry 7:
# GGA-PBE NaAgPS2, relaxed
# energy above the most stable polymorph in this dataset = 0.00 eV per formula unit
# size of the total moment = 0.44 μB per cell
# formation energy (no corrections) = 0.456 eV/atom
# mass density = 3.14 g/cm3
# raw total energy = -15.55 eV per formula unit
# crystal system = tetragonal
data_NaAgPS2
_chemical_formula_sum 'Na1 Ag1 P1 S2'
_space_group_name_H-M_alt 'P 4/m m m'
_space_group_IT_number 123
_space_group_name_Hall '-P 4 2'
_cell_length_a 5.047
_cell_length_b 5.047
_cell_length_c 4.694
_cell_angle_alpha 90.00
_cell_angle_beta 90.00
_cell_angle_gamma 90.00
loop_
_atom_site_label
_atom_site_type_symbol
_atom_site_fract_x
_atom_site_fract_y
_atom_site_fract_z
_atom_site_occupancy
Na1 Na 0.000 0.000 0.000 1
Ag1 Ag 0.500 0.500 0.500 1
P1 P 0.500 0.500 0.000 1
S1 S 0.000 0.500 0.500 1

Entry 8:
# GGA-PBE NaPb3F, relaxed
# energy above the most stable polymorph in this dataset = 0.00 eV per formula unit
# size of the total moment = 0.00 μB per cell
# formation energy (no corrections) = -0.529 eV/atom
# mass density = 7.78 g/cm3
# raw total energy = -16.96 eV per formula unit
# crystal system = cubic
data_NaPb3F
_chemical_formula_sum 'Na1 Pb3 F1'
_space_group_name_H-M_alt 'P m -3 m'
_space_group_IT_number 221
_space_group_name_Hall '-P 4 2 3'
_cell_length_a 5.212
_cell_length_b 5.212
_cell_length_c 5.212
_cell_angle_alpha 90.00
_cell_angle_beta 90.00
_cell_angle_gamma 90.00
loop_
_atom_site_label
_atom_site_type_symbol
_atom_site_fract_x
_atom_site_fract_y
_atom_site_fract_z
_atom_site_occupancy
Na1 Na 0.000 0.000 0.000 1
Pb1 Pb 0.000 0.500 0.500 1
F1 F 0.500 0.500 0.500 1